(1)
# La2Re

Crystalline La2Re at its relaxed geometry (PBE, Alexandria via LeMat-Bulk).

Unit cell a=14.8966 b=14.8966 c=14.8966 alpha=166.46 beta=166.46 gamma=19.19
Atoms (fractional coordinates):
La1 0.3154 0.5654 0.7500
La2 0.4346 0.6846 0.7500
La3 0.5654 0.3154 0.2500
La4 0.6846 0.4346 0.2500
Re1 0.1250 0.8750 0.2500
Re2 0.8750 0.1250 0.7500

* ΔE to the lowest computed polymorph: 89 meV per atom
* V: 30.18 A^3/atom
* theoretical density: 8.5 Mg/m³
* calculated formation energy: 0.246 eV/atom
* total energy: -7.188 eV per atom
* total magnetization: 0.00 μB/cell
* space-group type: I4_1/amd, No. 141

=====

(2)
# CaMg2SnS

Crystalline CaMg2SnS at its relaxed geometry (PBE, Alexandria via LeMat-Bulk).

Unit cell a=5.1353 b=5.1353 c=6.0707 alpha=90.00 beta=90.00 gamma=90.00
Atoms (fractional coordinates):
Ca1 0.0000 0.0000 0.0000
Mg1 0.0000 0.5000 0.5000
Mg2 0.5000 0.0000 0.5000
Sn1 0.0000 0.0000 0.5000
S1 0.5000 0.5000 0.0000

* V: 32.02 A^3/atom
* theoretical density: 2.5 Mg/m³
* total energy: -2.801 eV per atom
* total magnetization: 0.00 μB/cell
* ΔE_f (raw): -137 meV per atom
* space-group type: P4/mmm, No. 123

=====

(3)
# Zr3Al3Ni2

Crystalline Zr3Al3Ni2 at its relaxed geometry (PBE, Alexandria via LeMat-Bulk).

Unit cell a=5.0677 b=7.4036 c=7.5111 alpha=95.58 beta=90.05 gamma=102.34
Atoms (fractional coordinates):
Zr1 0.1519 0.3466 0.4722
Zr2 0.2655 0.0014 0.2146
Zr3 0.3385 0.2703 0.9199
Zr4 0.6615 0.7297 0.0801
Zr5 0.7345 0.9986 0.7854
Zr6 0.8481 0.6534 0.5278
Al1 0.1146 0.5718 0.1753
Al2 0.1786 0.7989 0.8724
Al3 0.2365 0.0041 0.5929
Al4 0.7635 0.9959 0.4071
Al5 0.8214 0.2011 0.1276
Al6 0.8854 0.4282 0.8247
Ni1 0.3916 0.7285 0.4410
Ni2 0.4253 0.5691 0.7439
Ni3 0.5747 0.4309 0.2561
Ni4 0.6084 0.2715 0.5590

* ΔE to the lowest computed polymorph: 112 meV per atom
* V: 17.12 A^3/atom
* theoretical density: 5.7 Mg/m³
* calculated formation energy: -0.415 eV/atom
* total energy: -6.469 eV per atom
* total magnetization: 0.00 μB/cell
* space-group type: P-1, No. 2

=====

(4)
# LaPuCuRh

Crystalline LaPuCuRh at its relaxed geometry (PBE, Alexandria via LeMat-Bulk).

Unit cell a=5.0060 b=5.0060 c=5.0060 alpha=60.00 beta=60.00 gamma=60.00
Atoms (fractional coordinates):
La1 0.0000 0.0000 0.0000
Pu1 0.5000 0.5000 0.5000
Cu1 0.2500 0.2500 0.2500
Rh1 0.7500 0.7500 0.7500

* V: 22.18 A^3/atom
* theoretical density: 10.3 Mg/m³
* calculated formation energy: -0.270 eV/atom
* total energy: -7.946 eV per atom
* total magnetization: 5.73 μB/cell
* space-group type: F-43m, No. 216

=====

(5)
# Th2SiBIr6

Crystalline Th2SiBIr6 at its relaxed geometry (PBE, Alexandria via LeMat-Bulk).

Unit cell a=7.0240 b=7.0240 c=7.0240 alpha=47.89 beta=47.89 gamma=47.89
Atoms (fractional coordinates):
Th1 0.2160 0.2160 0.2160
Th2 0.7840 0.7840 0.7840
Si1 0.5000 0.5000 0.5000
B1 0.0000 0.0000 0.0000
Ir1 0.2386 0.2386 0.7180
Ir2 0.2386 0.7180 0.2386
Ir3 0.2820 0.7614 0.7614
Ir4 0.7180 0.2386 0.2386
Ir5 0.7614 0.2820 0.7614
Ir6 0.7614 0.7614 0.2820

* V: 17.47 A^3/atom
* theoretical density: 15.7 Mg/m³
* total energy: -8.726 eV per atom
* total magnetization: 0.00 μB/cell
* ΔE_f (raw): -715 meV per atom
* space-group type: R-3m, No. 166

=====

(6)
# PaTiNbGa

Crystalline PaTiNbGa at its relaxed geometry (PBE, Alexandria via LeMat-Bulk).

Unit cell a=4.8036 b=4.8036 c=4.8036 alpha=60.00 beta=60.00 gamma=60.00
Atoms (fractional coordinates):
Pa1 0.0000 0.0000 0.0000
Ti1 0.5000 0.5000 0.5000
Nb1 0.7500 0.7500 0.7500
Ga1 0.2500 0.2500 0.2500

* V: 19.59 A^3/atom
* theoretical density: 9.4 Mg/m³
* calculated formation energy: -0.006 eV/atom
* total energy: -7.627 eV per atom
* total magnetization: 0.00 μB/cell
* space-group type: F-43m, No. 216

=====

(7)
# RePb2

Crystalline RePb2 at its relaxed geometry (PBE, Alexandria via LeMat-Bulk).

Unit cell a=3.2446 b=3.2446 c=7.9761 alpha=90.00 beta=90.00 gamma=120.00
Atoms (fractional coordinates):
Re1 0.0000 0.0000 0.0000
Pb1 0.3333 0.6667 0.2813
Pb2 0.6667 0.3333 0.7187

* ΔE to the lowest computed polymorph: 244 meV per atom
* V: 24.24 A^3/atom
* theoretical density: 13.7 Mg/m³
* calculated formation energy: 0.805 eV/atom
* total energy: -5.817 eV per atom
* total magnetization: 0.00 μB/cell
* space-group type: P-3m1, No. 164

=====

(8)
# Ac3HfO6

Crystalline Ac3HfO6 at its relaxed geometry (PBE, Alexandria via LeMat-Bulk).

Unit cell a=7.1770 b=7.1770 c=7.1770 alpha=92.71 beta=92.71 gamma=92.71
Atoms (fractional coordinates):
Ac1 0.0582 0.5677 0.7559
Ac2 0.2441 0.9418 0.4323
Ac3 0.4323 0.2441 0.9418
Ac4 0.5677 0.7559 0.0582
Ac5 0.7559 0.0582 0.5677
Ac6 0.9418 0.4323 0.2441
Hf1 0.0000 0.0000 0.0000
Hf2 0.5000 0.5000 0.5000
O1 0.0454 0.9174 0.7190
O2 0.0826 0.2810 0.9546
O3 0.2150 0.5682 0.4426
O4 0.2810 0.9546 0.0826
O5 0.4318 0.5574 0.7850
O6 0.4426 0.2150 0.5682
O7 0.5574 0.7850 0.4318
O8 0.5682 0.4426 0.2150
O9 0.7190 0.0454 0.9174
O10 0.7850 0.4318 0.5574
O11 0.9174 0.7190 0.0454
O12 0.9546 0.0826 0.2810

* V: 18.42 A^3/atom
* theoretical density: 8.6 Mg/m³
* total energy: -8.440 eV per atom
* total magnetization: 0.01 μB/cell
* ΔE_f (raw): -3237 meV per atom
* space-group type: R-3, No. 148

=====

(9)
# CaBeBPt6

Crystalline CaBeBPt6 at its relaxed geometry (PBE, Alexandria via LeMat-Bulk).

Unit cell a=7.6503 b=7.6503 c=7.6503 alpha=127.85 beta=113.66 gamma=89.14
Atoms (fractional coordinates):
Ca1 0.4180 0.1680 0.2500
Ca2 0.5820 0.8320 0.7500
Be1 0.0000 0.0000 0.5000
Be2 0.0000 0.5000 0.0000
B1 0.0000 0.5000 0.5000
B2 0.5000 0.5000 0.0000
Pt1 0.1067 0.3984 0.2500
Pt2 0.1067 0.8567 0.7083
Pt3 0.1368 0.8868 0.2500
Pt4 0.3068 0.5568 0.7500
Pt5 0.3516 0.1433 0.7500
Pt6 0.3516 0.6016 0.2083
Pt7 0.6484 0.3984 0.7917
Pt8 0.6484 0.8567 0.2500
Pt9 0.6932 0.4432 0.2500
Pt10 0.8632 0.1132 0.7500
Pt11 0.8933 0.1433 0.2917
Pt12 0.8933 0.6016 0.7500

* V: 17.05 A^3/atom
* theoretical density: 13.3 Mg/m³
* calculated formation energy: -0.377 eV/atom
* total energy: -5.783 eV per atom
* total magnetization: 0.00 μB/cell
* space-group type: Imma, No. 74

=====

(10)
# RbMgNb

Crystalline RbMgNb at its relaxed geometry (PBE, Alexandria via LeMat-Bulk).

Unit cell a=13.9762 b=5.2462 c=5.5526 alpha=90.00 beta=90.00 gamma=90.00
Atoms (fractional coordinates):
Rb1 0.2498 0.2500 0.2483
Rb2 0.2502 0.7500 0.7483
Rb3 0.7498 0.2500 0.2517
Rb4 0.7502 0.7500 0.7517
Mg1 0.0000 0.0000 0.0000
Mg2 0.0000 0.5000 0.0000
Mg3 0.5000 0.0000 0.5000
Mg4 0.5000 0.5000 0.5000
Nb1 0.0000 0.2500 0.5027
Nb2 0.0000 0.7500 0.4973
Nb3 0.5000 0.2500 0.9973
Nb4 0.5000 0.7500 0.0027

* ΔE to the lowest computed polymorph: 437 meV per atom
* V: 33.93 A^3/atom
* theoretical density: 3.3 Mg/m³
* calculated formation energy: 0.820 eV/atom
* total energy: -3.391 eV per atom
* total magnetization: 0.00 μB/cell
* space-group type: Pnma, No. 62

=====

(11)
# Tb2Er3TmSe6

Crystalline Tb2Er3TmSe6 at its relaxed geometry (PBE, Alexandria via LeMat-Bulk).

Unit cell a=9.0588 b=9.0588 c=8.1391 alpha=103.16 beta=103.16 gamma=25.77
Atoms (fractional coordinates):
Tb1 0.1682 0.1682 0.3357
Tb2 0.8318 0.8318 0.6643
Er1 0.1690 0.1690 0.8329
Er2 0.5000 0.5000 0.5000
Er3 0.8310 0.8310 0.1671
Tm1 0.5000 0.5000 0.0000
Se1 0.0017 0.0017 0.7525
Se2 0.3354 0.3354 0.4137
Se3 0.3350 0.3350 0.9215
Se4 0.6650 0.6650 0.0785
Se5 0.6646 0.6646 0.5863
Se6 0.9983 0.9983 0.2475

* V: 23.53 A^3/atom
* theoretical density: 8.6 Mg/m³
* total energy: -5.742 eV per atom
* total magnetization: 0.00 μB/cell
* ΔE_f (raw): -1714 meV per atom
* space-group type: C2/m, No. 12

=====

(12)
# Sr3HBr

Crystalline Sr3HBr at its relaxed geometry (PBE, Alexandria via LeMat-Bulk).

Unit cell a=5.5825 b=5.5825 c=5.5825 alpha=90.00 beta=90.00 gamma=90.00
Atoms (fractional coordinates):
Sr1 0.0000 0.0000 0.5000
Sr2 0.0000 0.5000 0.0000
Sr3 0.5000 0.0000 0.0000
H1 0.0000 0.0000 0.0000
Br1 0.5000 0.5000 0.5000

* ΔE to the lowest computed polymorph: 0 meV per atom
* V: 34.80 A^3/atom
* theoretical density: 3.3 Mg/m³
* total energy: -2.328 eV per atom
* total magnetization: 0.00 μB/cell
* space-group type: Pm-3m, No. 221

=====

(13)
# CaMgS2

Crystalline CaMgS2 at its relaxed geometry (PBE, Alexandria via LeMat-Bulk).

Unit cell a=8.0495 b=8.0495 c=8.0495 alpha=29.01 beta=29.01 gamma=29.01
Atoms (fractional coordinates):
Ca1 0.0000 0.0000 0.0000
Mg1 0.5000 0.5000 0.5000
S1 0.1096 0.1096 0.1096
S2 0.8904 0.8904 0.8904

* V: 27.13 A^3/atom
* theoretical density: 2.0 Mg/m³
* total energy: -3.903 eV per atom
* total magnetization: 0.00 μB/cell
* ΔE_f (raw): -940 meV per atom
* space-group type: R-3m, No. 166

=====

(14)
# VIn3Ga

Crystalline VIn3Ga at its relaxed geometry (PBE, Alexandria via LeMat-Bulk).

Unit cell a=5.2497 b=5.2497 c=5.2497 alpha=90.00 beta=90.00 gamma=90.00
Atoms (fractional coordinates):
V1 0.0000 0.0000 0.0000
In1 0.0000 0.5000 0.5000
In2 0.5000 0.0000 0.5000
In3 0.5000 0.5000 0.0000
Ga1 0.5000 0.5000 0.5000

* ΔE to the lowest computed polymorph: 356 meV per atom
* V: 28.94 A^3/atom
* theoretical density: 5.3 Mg/m³
* calculated formation energy: 0.846 eV/atom
* total energy: -3.226 eV per atom
* total magnetization: 3.62 μB/cell
* space-group type: Pm-3m, No. 221

=====

(15)
# CoNiAu3

Crystalline CoNiAu3 at its relaxed geometry (PBE, Alexandria via LeMat-Bulk).

Unit cell a=4.7315 b=4.7315 c=4.7315 alpha=90.00 beta=90.00 gamma=90.00
Atoms (fractional coordinates):
Co1 0.0000 0.0000 0.0000
Ni1 0.5000 0.5000 0.5000
Au1 0.0000 0.0000 0.5000
Au2 0.0000 0.5000 0.0000
Au3 0.5000 0.0000 0.0000

* V: 21.19 A^3/atom
* theoretical density: 11.1 Mg/m³
* calculated formation energy: 1.117 eV/atom
* total energy: -3.427 eV per atom
* total magnetization: 2.64 μB/cell
* space-group type: Pm-3m, No. 221

=====

(16)
# BaLiPa4N8

Crystalline BaLiPa4N8 at its relaxed geometry (PBE, Alexandria via LeMat-Bulk).

Unit cell a=6.8939 b=6.8939 c=6.8939 alpha=62.89 beta=62.89 gamma=62.89
Atoms (fractional coordinates):
Ba1 0.0000 0.0000 0.0000
Li1 0.3665 0.3665 0.3665
Pa1 0.3820 0.3820 0.8974
Pa2 0.3820 0.8974 0.3820
Pa3 0.7693 0.7693 0.7693
Pa4 0.8974 0.3820 0.3820
N1 0.1445 0.6601 0.6601
N2 0.1515 0.1515 0.5571
N3 0.1515 0.5571 0.1515
N4 0.1569 0.1569 0.1569
N5 0.5571 0.1515 0.1515
N6 0.6333 0.6333 0.6333
N7 0.6601 0.1445 0.6601
N8 0.6601 0.6601 0.1445

* V: 17.61 A^3/atom
* theoretical density: 8.0 Mg/m³
* total energy: -8.960 eV per atom
* total magnetization: 0.00 μB/cell
* ΔE_f (raw): -1215 meV per atom
* space-group type: R3m, No. 160

=====

(17)
# Na4InAu2

Crystalline Na4InAu2 at its relaxed geometry (PBE, Alexandria via LeMat-Bulk).

Unit cell a=10.1836 b=10.1836 c=10.1836 alpha=28.02 beta=28.02 gamma=28.02
Atoms (fractional coordinates):
Na1 0.1079 0.1079 0.1079
Na2 0.2994 0.2994 0.2994
Na3 0.7006 0.7006 0.7006
Na4 0.8921 0.8921 0.8921
In1 0.5000 0.5000 0.5000
Au1 0.4053 0.4053 0.4053
Au2 0.5947 0.5947 0.5947

* V: 29.41 A^3/atom
* theoretical density: 4.8 Mg/m³
* calculated formation energy: -0.180 eV/atom
* total energy: -2.262 eV per atom
* total magnetization: 0.00 μB/cell
* space-group type: R-3m, No. 166

=====

(18)
# LaPW2

Crystalline LaPW2 at its relaxed geometry (PBE, Alexandria via LeMat-Bulk).

Unit cell a=4.7343 b=4.7343 c=4.7343 alpha=60.00 beta=60.00 gamma=60.00
Atoms (fractional coordinates):
La1 0.0000 0.0000 0.0000
P1 0.2500 0.2500 0.2500
W1 0.5000 0.5000 0.5000
W2 0.7500 0.7500 0.7500

* ΔE to the lowest computed polymorph: 631 meV per atom
* V: 18.76 A^3/atom
* theoretical density: 11.9 Mg/m³
* calculated formation energy: 0.563 eV/atom
* total energy: -8.498 eV per atom
* total magnetization: 0.00 μB/cell
* space-group type: F-43m, No. 216

=====

(19)
# K2TeBr

Crystalline K2TeBr at its relaxed geometry (PBE, Alexandria via LeMat-Bulk).

Unit cell a=6.0281 b=6.8572 c=6.8572 alpha=30.49 beta=90.00 gamma=90.00
Atoms (fractional coordinates):
K1 0.0000 0.0000 0.0000
K2 0.5000 0.2260 0.2260
Te1 0.5000 0.4868 0.4868
Br1 0.0000 0.7286 0.7286

* ΔE to the lowest computed polymorph: 79 meV per atom
* V: 35.95 A^3/atom
* theoretical density: 3.3 Mg/m³
* total energy: -2.853 eV per atom
* total magnetization: 0.00 μB/cell
* ΔE_f (raw): -1101 meV per atom
* space-group type: Amm2, No. 38

=====

(20)
# ScCuOsO2

Crystalline ScCuOsO2 at its relaxed geometry (PBE, Alexandria via LeMat-Bulk).

Unit cell a=3.8365 b=3.8365 c=4.7363 alpha=90.00 beta=90.00 gamma=90.00
Atoms (fractional coordinates):
Sc1 0.0000 0.0000 0.0000
Cu1 0.5000 0.5000 0.5000
Os1 0.5000 0.5000 0.0000
O1 0.0000 0.5000 0.5000
O2 0.5000 0.0000 0.5000

* V: 13.94 A^3/atom
* theoretical density: 7.9 Mg/m³
* total energy: -6.046 eV per atom
* total magnetization: 1.69 μB/cell
* ΔE_f (raw): 269 meV per atom
* space-group type: P4/mmm, No. 123